# Ti2BP PBE-GGA optimized geometry
# ΔH_f (0 K): -0.948 eV per atom
# Space group: P2_1/m (11)
# Crystal system: monoclinic
# Density of states at the Fermi level: 0.272 states/eV/atom
data_Ti2BP
_cell_length_a 3.2366
_cell_length_b 4.7044
_cell_length_c 6.7990
_cell_angle_alpha 111.34
_cell_angle_beta 90.00
_cell_angle_gamma 90.00
_space_group_name_H-M_alt 'P 1'
_space_group_IT_number 1
loop_
_space_group_symop_operation_xyz
'x,y,z'
loop_
_atom_site_label
_atom_site_type_symbol
_atom_site_fract_x
_atom_site_fract_y
_atom_site_fract_z
Ti1 Ti 0.7500 0.2113 0.4194
Ti2 Ti 0.2500 0.7887 0.5806
Ti3 Ti 0.2500 0.7986 0.0664
Ti4 Ti 0.7500 0.2014 0.9336
B1 B 0.2500 0.3441 0.2105
B2 B 0.7500 0.6559 0.7895
P1 P 0.7500 0.6400 0.2833
P2 P 0.2500 0.3600 0.7167